Entry 1:
CdAg2Sb after structural relaxation, computed with GGA-PBE.

a b c (Å): 5.4586 5.4586 5.4586
angles (deg): 133.44 133.44 67.96
Element x y z (fractional)
Cd 0.0000 0.0000 0.0000
Ag 0.5000 0.5000 0.0000
Ag 0.7500 0.2500 0.5000
Sb 0.2500 0.7500 0.5000

Summary:
* crystal system: tetragonal
* E_form (uncorrected): 0.054 eV per atom
* DOS(E_F): 1.241 states/eV/f.u.
* M_tot: 0.00 Bohr magnetons per cell

=====

Entry 2:
SrCdPt2 after structural relaxation, computed with GGA-PBE.

a b c (Å): 5.9847 5.9847 5.9847
angles (deg): 45.00 45.00 45.00
Element x y z (fractional)
Sr 0.0000 0.0000 0.0000
Cd 0.2000 0.2000 0.2000
Pt 0.4604 0.4604 0.4604
Pt 0.7960 0.7960 0.7960

Summary:
* crystal system: trigonal
* formation enthalpy at 0 K: -0.507 eV/atom
* DOS(E_F): 3.100 states/eV/f.u.
* M_tot: 0.00 Bohr magnetons per cell

=====

Entry 3:
AcPmSiI after structural relaxation, computed with GGA-PBE.

a b c (Å): 5.5078 5.5078 5.5078
angles (deg): 60.00 60.00 60.00
Element x y z (fractional)
Ac 0.0000 0.0000 0.0000
Pm 0.5000 0.5000 0.5000
Si 0.2500 0.2500 0.2500
I 0.7500 0.7500 0.7500

Summary:
* crystal system: cubic
* E_form (uncorrected): -0.610 eV per atom
* DOS(E_F): 3.692 states/eV/f.u.
* M_tot: 0.00 Bohr magnetons per cell

=====

Entry 4:
Zr2Zn2Rh after structural relaxation, computed with GGA-PBE.

a b c (Å): 5.7037 5.7037 8.1460
angles (deg): 110.55 110.55 47.13
Element x y z (fractional)
Zr 0.1074 0.1074 0.3952
Zr 0.1548 0.1548 0.0367
Zr 0.8452 0.8452 0.9633
Zr 0.8926 0.8926 0.6048
Zn 0.3871 0.3871 0.3739
Zn 0.4907 0.4907 0.8421
Zn 0.5093 0.5093 0.1579
Zn 0.6129 0.6129 0.6261
Rh 0.2251 0.2251 0.7569
Rh 0.7749 0.7749 0.2431

Summary:
* crystal system: monoclinic
* formation enthalpy at 0 K: -0.390 eV/atom
* DOS(E_F): 3.128 states/eV/f.u.
* M_tot: 0.00 Bohr magnetons per cell

=====

Entry 5:
Hf4PaIn5 after structural relaxation, computed with GGA-PBE.

a b c (Å): 3.1043 3.1043 23.0410
angles (deg): 90.00 90.00 90.00
Element x y z (fractional)
Hf 0.0000 0.0000 0.0975
Hf 0.0000 0.0000 0.2912
Hf 0.0000 0.0000 0.7088
Hf 0.0000 0.0000 0.9025
Pa 0.0000 0.0000 0.5000
In 0.5000 0.5000 0.0000
In 0.5000 0.5000 0.1945
In 0.5000 0.5000 0.3892
In 0.5000 0.5000 0.6108
In 0.5000 0.5000 0.8055

Summary:
* crystal system: tetragonal
* formation enthalpy at 0 K: -0.127 eV/atom
* DOS(E_F): 7.810 states/eV/f.u.
* M_tot: 0.51 Bohr magnetons per cell

=====

Entry 6:
IrS2Cl after structural relaxation, computed with GGA-PBE.

a b c (Å): 7.2455 7.2455 7.2455
angles (deg): 29.20 29.20 29.20
Element x y z (fractional)
Ir 0.0000 0.0000 0.0000
S 0.3865 0.3865 0.3865
S 0.6135 0.6135 0.6135
Cl 0.5000 0.5000 0.5000

Summary:
* crystal system: trigonal
* E_form (uncorrected): -0.271 eV per atom
* DOS(E_F): 0.000 states/eV/f.u.
* M_tot: 0.00 Bohr magnetons per cell

=====

Entry 7:
BaPa2Se4 after structural relaxation, computed with GGA-PBE.

a b c (Å): 7.1048 7.1048 14.2866
angles (deg): 90.00 90.00 145.16
Element x y z (fractional)
Ba 0.1090 0.8910 0.7500
Ba 0.8910 0.1090 0.2500
Pa 0.3689 0.6311 0.5587
Pa 0.3689 0.6311 0.9413
Pa 0.6311 0.3689 0.0587
Pa 0.6311 0.3689 0.4413
Se 0.0000 0.0000 0.0000
Se 0.0000 0.0000 0.5000
Se 0.2644 0.7356 0.1172
Se 0.2644 0.7356 0.3828
Se 0.4289 0.5711 0.7500
Se 0.5711 0.4289 0.2500
Se 0.7356 0.2644 0.6172
Se 0.7356 0.2644 0.8828

Summary:
* crystal system: orthorhombic
* E_form (uncorrected): -1.487 eV per atom
* DOS(E_F): 9.424 states/eV/f.u.
* M_tot: 6.13 Bohr magnetons per cell

=====

Entry 8:
Na7Hg2Bi after structural relaxation, computed with GGA-PBE.

a b c (Å): 5.3947 5.3947 12.8113
angles (deg): 90.00 90.00 120.00
Element x y z (fractional)
Na 0.0000 0.0000 0.0000
Na 0.0000 0.0000 0.2470
Na 0.0000 0.0000 0.7291
Na 0.3333 0.6667 0.3991
Na 0.3333 0.6667 0.8769
Na 0.6667 0.3333 0.1176
Na 0.6667 0.3333 0.5748
Hg 0.0000 0.0000 0.4873
Hg 0.6667 0.3333 0.8429
Bi 0.3333 0.6667 0.1369

Summary:
* crystal system: trigonal
* formation enthalpy at 0 K: -0.206 eV/atom
* DOS(E_F): 2.929 states/eV/f.u.
* M_tot: 0.00 Bohr magnetons per cell

=====

Entry 9:
LaPd5Au7 after structural relaxation, computed with GGA-PBE.

a b c (Å): 7.1535 7.1535 7.1535
angles (deg): 134.21 98.32 99.09
Element x y z (fractional)
La 0.0000 0.0000 0.0000
Pd 0.0067 0.0076 0.4981
Pd 0.0067 0.5086 0.9990
Pd 0.5095 0.0076 0.0010
Pd 0.5095 0.5086 0.5019
Pd 0.7824 0.2824 0.5000
Au 0.2155 0.5066 0.7089
Au 0.2316 0.7316 0.5000
Au 0.3444 0.3444 0.0000
Au 0.3540 0.0102 0.3438
Au 0.6638 0.6638 0.0000
Au 0.6664 0.0102 0.6562
Au 0.7977 0.5066 0.2911

Summary:
* crystal system: orthorhombic
* formation enthalpy at 0 K: -0.309 eV/atom
* DOS(E_F): 5.543 states/eV/f.u.
* M_tot: 0.00 Bohr magnetons per cell

=====

Entry 10:
ReIrAu2 after structural relaxation, computed with GGA-PBE.

a b c (Å): 4.8334 4.8334 5.0470
angles (deg): 98.75 98.75 33.88
Element x y z (fractional)
Re 0.0000 0.0000 0.0000
Ir 0.7380 0.7380 0.1830
Au 0.2482 0.2482 0.7105
Au 0.4923 0.4923 0.4767

Summary:
* crystal system: monoclinic
* formation enthalpy at 0 K: 0.355 eV/atom
* DOS(E_F): 2.807 states/eV/f.u.
* M_tot: 0.00 Bohr magnetons per cell

=====

Entry 11:
Pm12Sb3Ru5 after structural relaxation, computed with GGA-PBE.

a b c (Å): 14.9535 14.9535 14.9535
angles (deg): 109.47 109.47 109.47
Element x y z (fractional)
Pm 0.0280 0.2043 0.1204
Pm 0.0280 0.3237 0.9076
Pm 0.0839 0.7043 0.6763
Pm 0.0839 0.8796 0.4076
Pm 0.0924 0.6204 0.4161
Pm 0.0924 0.9720 0.6763
Pm 0.1204 0.0280 0.2043
Pm 0.1204 0.5924 0.9161
Pm 0.1763 0.2043 0.5839
Pm 0.1763 0.4720 0.5924
Pm 0.2043 0.1204 0.0280
Pm 0.2043 0.5839 0.1763
Pm 0.2957 0.3237 0.9161
Pm 0.2957 0.4720 0.3796
Pm 0.3237 0.9076 0.0280
Pm 0.3237 0.9161 0.2957
Pm 0.3796 0.2957 0.4720
Pm 0.3796 0.5839 0.9076
Pm 0.4076 0.0839 0.8796
Pm 0.4076 0.8237 0.5280
Pm 0.4161 0.0924 0.6204
Pm 0.4161 0.8237 0.7957
Pm 0.4720 0.3796 0.2957
Pm 0.4720 0.5924 0.1763
Pm 0.5280 0.4076 0.8237
Pm 0.5280 0.6204 0.7043
Pm 0.5839 0.1763 0.2043
Pm 0.5839 0.9076 0.3796
Pm 0.5924 0.1763 0.4720
Pm 0.5924 0.9161 0.1204
Pm 0.6204 0.4161 0.0924
Pm 0.6204 0.7043 0.5280
Pm 0.6763 0.0839 0.7043
Pm 0.6763 0.0924 0.9720
Pm 0.7043 0.5280 0.6204
Pm 0.7043 0.6763 0.0839
Pm 0.7957 0.4161 0.8237
Pm 0.7957 0.8796 0.9720
Pm 0.8237 0.5280 0.4076
Pm 0.8237 0.7957 0.4161
Pm 0.8796 0.4076 0.0839
Pm 0.8796 0.9720 0.7957
Pm 0.9076 0.0280 0.3237
Pm 0.9076 0.3796 0.5839
Pm 0.9161 0.1204 0.5924
Pm 0.9161 0.2957 0.3237
Pm 0.9720 0.6763 0.0924
Pm 0.9720 0.7957 0.8796
Sb 0.1250 0.2500 0.3750
Sb 0.1250 0.3750 0.7500
Sb 0.2500 0.3750 0.1250
Sb 0.2500 0.8750 0.6250
Sb 0.3750 0.1250 0.2500
Sb 0.3750 0.7500 0.1250
Sb 0.6250 0.2500 0.8750
Sb 0.6250 0.8750 0.7500
Sb 0.7500 0.1250 0.3750
Sb 0.7500 0.6250 0.8750
Sb 0.8750 0.6250 0.2500
Sb 0.8750 0.7500 0.6250
Ru 0.0000 0.0000 0.0000
Ru 0.0000 0.0000 0.5000
Ru 0.0000 0.5000 0.0000
Ru 0.0000 0.5000 0.5000
Ru 0.1250 0.7500 0.8750
Ru 0.1250 0.8750 0.2500
Ru 0.2500 0.1250 0.8750
Ru 0.2500 0.6250 0.3750
Ru 0.3750 0.2500 0.6250
Ru 0.3750 0.6250 0.7500
Ru 0.5000 0.0000 0.0000
Ru 0.5000 0.0000 0.5000
Ru 0.5000 0.5000 0.0000
Ru 0.5000 0.5000 0.5000
Ru 0.6250 0.3750 0.2500
Ru 0.6250 0.7500 0.3750
Ru 0.7500 0.3750 0.6250
Ru 0.7500 0.8750 0.1250
Ru 0.8750 0.1250 0.7500
Ru 0.8750 0.2500 0.1250

Summary:
* crystal system: cubic
* E_form (uncorrected): -0.182 eV per atom
* DOS(E_F): 18.548 states/eV/f.u.
* M_tot: 0.00 Bohr magnetons per cell

=====

Entry 12:
Ga3SnC after structural relaxation, computed with GGA-PBE.

a b c (Å): 5.3890 5.3890 5.3890
angles (deg): 90.00 90.00 90.00
Element x y z (fractional)
Ga 0.0000 0.0000 0.5000
Ga 0.0000 0.5000 0.0000
Ga 0.5000 0.0000 0.0000
Sn 0.0000 0.0000 0.0000
C 0.5000 0.5000 0.5000

Summary:
* crystal system: cubic
* formation enthalpy at 0 K: 1.792 eV/atom
* DOS(E_F): 4.215 states/eV/f.u.
* M_tot: 2.00 Bohr magnetons per cell

=====

Entry 13:
SrMnOs2 after structural relaxation, computed with GGA-PBE.

a b c (Å): 3.0060 3.0060 7.7702
angles (deg): 90.00 90.00 90.00
Element x y z (fractional)
Sr 0.0000 0.0000 0.0000
Mn 0.0000 0.0000 0.5000
Os 0.5000 0.5000 0.3186
Os 0.5000 0.5000 0.6814

Summary:
* crystal system: tetragonal
* formation enthalpy at 0 K: 0.576 eV/atom
* DOS(E_F): 3.988 states/eV/f.u.
* M_tot: 2.36 Bohr magnetons per cell

=====

Entry 14:
Ac4PPd2 after structural relaxation, computed with GGA-PBE.

a b c (Å): 8.4264 8.4264 8.4264
angles (deg): 139.10 139.10 59.22
Element x y z (fractional)
Ac 0.0000 0.5000 0.5000
Ac 0.2069 0.2069 0.0000
Ac 0.5000 0.0000 0.5000
Ac 0.7931 0.7931 0.0000
P 0.0000 0.0000 0.0000
Pd 0.4035 0.4035 0.0000
Pd 0.5965 0.5965 0.0000

Summary:
* crystal system: tetragonal
* formation enthalpy at 0 K: -0.574 eV/atom
* DOS(E_F): 6.818 states/eV/f.u.
* M_tot: 0.00 Bohr magnetons per cell

=====

Entry 15:
YMoOs after structural relaxation, computed with GGA-PBE.

a b c (Å): 4.4981 4.4981 4.4981
angles (deg): 60.00 60.00 60.00
Element x y z (fractional)
Y 0.0000 0.0000 0.0000
Mo 0.5000 0.5000 0.5000
Os 0.7500 0.7500 0.7500

Summary:
* crystal system: cubic
* formation enthalpy at 0 K: 0.396 eV/atom
* DOS(E_F): 2.295 states/eV/f.u.
* M_tot: 0.00 Bohr magnetons per cell

=====

Entry 16:
Ti2Be3Cr after structural relaxation, computed with GGA-PBE.

a b c (Å): 4.7177 4.7177 4.7177
angles (deg): 57.46 57.46 57.46
Element x y z (fractional)
Ti 0.1251 0.1251 0.1251
Ti 0.8749 0.8749 0.8749
Be 0.0000 0.5000 0.5000
Be 0.5000 0.0000 0.5000
Be 0.5000 0.5000 0.0000
Cr 0.5000 0.5000 0.5000

Summary:
* crystal system: trigonal
* formation enthalpy at 0 K: -0.113 eV/atom
* DOS(E_F): 5.375 states/eV/f.u.
* M_tot: 0.00 Bohr magnetons per cell

=====

Entry 17:
KSi3Ag after structural relaxation, computed with GGA-PBE.

a b c (Å): 5.3819 5.3819 5.3819
angles (deg): 90.00 90.00 90.00
Element x y z (fractional)
K 0.0000 0.0000 0.0000
Si 0.0000 0.0000 0.5000
Si 0.0000 0.5000 0.0000
Si 0.5000 0.0000 0.0000
Ag 0.5000 0.5000 0.5000

Summary:
* crystal system: cubic
* E_form (uncorrected): 2.129 eV per atom
* DOS(E_F): 3.604 states/eV/f.u.
* M_tot: 0.00 Bohr magnetons per cell

=====

Entry 18:
SrTe2P after structural relaxation, computed with GGA-PBE.

a b c (Å): 6.0169 6.0169 6.0169
angles (deg): 50.32 50.32 50.32
Element x y z (fractional)
Sr 0.0000 0.0000 0.0000
Te 0.2185 0.2185 0.2185
Te 0.7815 0.7815 0.7815
P 0.5000 0.5000 0.5000

Summary:
* crystal system: trigonal
* E_form (uncorrected): -0.298 eV per atom
* DOS(E_F): 1.519 states/eV/f.u.
* M_tot: 0.00 Bohr magnetons per cell

=====

Entry 19:
LiSc2SnO after structural relaxation, computed with GGA-PBE.

a b c (Å): 4.4042 4.4042 4.2533
angles (deg): 90.00 90.00 90.00
Element x y z (fractional)
Li 0.0000 0.0000 0.0000
Sc 0.0000 0.5000 0.5000
Sc 0.5000 0.0000 0.5000
Sn 0.5000 0.5000 0.0000
O 0.0000 0.0000 0.5000

Summary:
* crystal system: tetragonal
* E_form (uncorrected): -1.564 eV per atom
* DOS(E_F): 2.225 states/eV/f.u.
* M_tot: 0.00 Bohr magnetons per cell

=====

Entry 20:
PrSm2Ho2 after structural relaxation, computed with GGA-PBE.

a b c (Å): 6.2531 6.2531 9.1301
angles (deg): 103.18 103.18 86.21
Element x y z (fractional)
Pr 0.2485 0.7515 0.7500
Pr 0.7515 0.2485 0.2500
Sm 0.1445 0.6468 0.3543
Sm 0.3532 0.8555 0.1457
Sm 0.6468 0.1445 0.8543
Sm 0.8555 0.3532 0.6457
Ho 0.1927 0.3105 0.0005
Ho 0.3105 0.1927 0.5005
Ho 0.6895 0.8073 0.4995
Ho 0.8073 0.6895 0.9995

Summary:
* crystal system: monoclinic
* formation enthalpy at 0 K: 0.182 eV/atom
* DOS(E_F): 8.904 states/eV/f.u.
* M_tot: 0.00 Bohr magnetons per cell

=====

Entry 21:
AlSiBr2 after structural relaxation, computed with GGA-PBE.

a b c (Å): 7.6362 7.6362 7.6362
angles (deg): 154.39 140.57 47.61
Element x y z (fractional)
Al 0.0000 0.0000 0.0000
Si 0.8596 0.3596 0.5000
Br 0.1351 0.6351 0.5000
Br 0.4306 0.4306 0.0000

Summary:
* crystal system: orthorhombic
* E_form (uncorrected): -0.050 eV per atom
* DOS(E_F): 1.447 states/eV/f.u.
* M_tot: 0.00 Bohr magnetons per cell

=====

Entry 22:
H2Pd8Pb3 after structural relaxation, computed with GGA-PBE.

a b c (Å): 5.7657 5.8225 7.8892
angles (deg): 76.06 68.61 60.33
Element x y z (fractional)
H 0.1097 0.0548 0.2266
H 0.8903 0.9452 0.7734
Pd 0.2189 0.7155 0.3464
Pd 0.2354 0.0457 0.9833
Pd 0.2441 0.2178 0.3069
Pd 0.2679 0.7817 0.6935
Pd 0.7321 0.2183 0.3065
Pd 0.7559 0.7822 0.6931
Pd 0.7646 0.9543 0.0167
Pd 0.7811 0.2845 0.6536
Pb 0.2750 0.3068 0.6431
Pb 0.5000 0.5000 0.0000
Pb 0.7250 0.6932 0.3569

Summary:
* crystal system: triclinic
* total energy: -4.76 eV per atom
* DOS(E_F): 5.627 states/eV/f.u.
* M_tot: 0.00 Bohr magnetons per cell